Material: Cu4Ni3
Method: DFT, PBE
State: optimized geometry

```
Cu4Ni3
1.0
4.6020 0.0000 0.0000
-2.3010 3.9855 0.0000
0.0000 0.0000 4.5457
Cu Ni
4 3
Direct
0.0000 0.0000 0.2481 Cu
0.0000 0.0000 0.7519 Cu
0.3333 0.6667 0.0000 Cu
0.6667 0.3333 0.0000 Cu
0.0000 0.5000 0.5000 Ni
0.5000 0.0000 0.5000 Ni
0.5000 0.5000 0.5000 Ni
```

## Properties
Space group: P6/mmm
Formation energy in eV/atom: 0.145
Theoretical density in g cm⁻³: 8.570
Total magnetic moment in μB/cell: 0.57
Relative energy among the computed polymorphs in meV per atom: 78.0

---

Material: CuNi3
Method: DFT, PBE
State: optimized geometry

```
CuNi3
1.0
2.4993 0.0000 0.0000
0.0000 3.5332 0.0000
0.0000 0.0000 5.0254
Cu Ni
1 3
Direct
0.0000 0.0000 0.0000 Cu
0.0000 0.0000 0.5000 Ni
0.5000 0.5000 0.2548 Ni
0.5000 0.5000 0.7452 Ni
```

## Properties
Space group: Pmmm
Formation energy in eV/atom: 0.029
Theoretical density in g cm⁻³: 8.966
Total magnetic moment in μB/cell: 1.58

---

Material: Cu2Ni
Method: DFT, PBE
State: optimized geometry

```
Cu2Ni
1.0
4.0712 0.0000 0.0000
-2.0356 3.5258 0.0000
0.0000 0.0000 4.8861
Cu Ni
4 2
Direct
0.0000 0.0000 0.0000 Cu
0.0000 0.0000 0.5000 Cu
0.3333 0.6667 0.2500 Cu
0.6667 0.3333 0.7500 Cu
0.3333 0.6667 0.7500 Ni
0.6667 0.3333 0.2500 Ni
```

## Properties
Space group: P6_3/mmc
Formation energy in eV/atom: 0.100
Theoretical density in g cm⁻³: 8.797
Total magnetic moment in μB/cell: 0.00

---

Material: Cu6Ni
Method: DFT, PBE
State: optimized geometry

```
Cu6Ni
1.0
2.0255 1.1694 5.7938
-2.0255 1.1694 5.7938
0.0000 -2.3388 5.7938
Cu Ni
6 1
Direct
0.0726 0.0726 0.0726 Cu
0.2145 0.2145 0.2145 Cu
0.3578 0.3578 0.3578 Cu
0.6422 0.6422 0.6422 Cu
0.7855 0.7855 0.7855 Cu
0.9274 0.9274 0.9274 Cu
0.5000 0.5000 0.5000 Ni
```

## Properties
Space group: R-3m
Formation energy in eV/atom: 0.034
Theoretical density in g cm⁻³: 8.873
Total magnetic moment in μB/cell: 0.00
Relative energy among the computed polymorphs in meV per atom: 0.0